DFT (PBE-GGA) results for crystalline Ta2ZnSe at its relaxed geometry.

Summary:
- Uncorrected formation energy: 0.012 eV per atom
- Fermi-level density of states: 3.1 states/eV/cell

Lattice parameters (Å, degrees): 3.436 3.436 5.965 90.00 90.00 90.00
Fractional coordinates of all 4 atoms:
Se 0.500 0.500 0.776
Ta 0.000 0.000 0.997
Ta 0.500 0.500 0.257
Zn 0.000 0.000 0.470

---

DFT (PBE-GGA) results for crystalline ErFe6Sn4Ge2 at its relaxed geometry.

Summary:
- Fermi-level density of states: 9.6 states/eV/cell
- Energy relative to the elements: -0.19 eV/atom

Lattice parameters (Å, degrees): 5.279 5.279 8.713 90.00 90.00 120.00
Site moments in Bohr magnetons follow the coordinates.
Fractional coordinates of all 13 atoms:
Er 0.000 0.000 0.000  -0.19
Fe 0.500 0.500 0.769  2.17
Fe 0.500 0.500 0.231  2.17
Fe 0.000 0.500 0.769  2.17
Fe 0.000 0.500 0.231  2.17
Fe 0.500 0.000 0.769  2.17
Fe 0.500 0.000 0.231  2.17
Sn 0.667 0.333 0.500  -0.05
Sn 0.333 0.667 0.500  -0.05
Sn 0.000 0.000 0.665  -0.08
Sn 0.000 0.000 0.335  -0.08
Ge 0.667 0.333 0.000  -0.08
Ge 0.333 0.667 0.000  -0.08

---

DFT (PBE-GGA) results for crystalline BaY2Cl at its relaxed geometry.

Summary:
- Uncorrected formation energy: 0.073 eV per atom
- Fermi-level density of states: 7.4 states/eV/cell

Lattice parameters (Å, degrees): 5.870 5.870 5.870 60.00 60.00 60.00
Site moments in Bohr magnetons follow the coordinates.
Fractional coordinates of all 4 atoms:
Ba 0.500 0.500 0.500  0.14
Cl 0.750 0.750 0.750  0.02
Y 0.000 0.000 0.000  0.44
Y 0.250 0.250 0.250  0.59

---

DFT (PBE-GGA) results for crystalline BaIn2As at its relaxed geometry.

Summary:
- Fermi-level density of states: 3.0 states/eV/cell
- Energy relative to the elements: -0.32 eV/atom

Lattice parameters (Å, degrees): 6.683 6.683 6.683 43.59 43.59 43.59
Fractional coordinates of all 4 atoms:
As 0.250 0.250 0.250
Ba 0.750 0.750 0.750
In 0.967 0.967 0.967
In 0.533 0.533 0.533

---

DFT (PBE-GGA) results for crystalline ZrReW2 at its relaxed geometry.

Summary:
- Fermi-level density of states: 2.0 states/eV/cell
- Energy relative to the elements: -0.03 eV/atom

Lattice parameters (Å, degrees): 3.228 4.567 4.601 90.00 90.00 90.00
Fractional coordinates of all 4 atoms:
Re 0.000 0.500 0.500
W 0.000 0.000 0.000
W 0.500 0.500 0.000
Zr 0.500 0.000 0.500

---

DFT (PBE-GGA) results for crystalline Ti3Pd3Rh2 at its relaxed geometry.

Summary:
- Fermi-level density of states: 7.2 states/eV/cell
- Energy relative to the elements: -0.64 eV/atom

Lattice parameters (Å, degrees): 2.913 7.010 7.010 120.00 90.00 90.00
Fractional coordinates of all 8 atoms:
Ti 0.500 0.398 0.398
Ti 0.500 0.602 0.000
Ti 0.500 0.000 0.602
Pd 0.000 0.771 0.771
Pd 0.000 0.229 0.000
Pd 0.000 0.000 0.229
Rh 0.000 0.333 0.667
Rh 0.000 0.667 0.333

---

DFT (PBE-GGA) results for crystalline KSr2Ca at its relaxed geometry.

Summary:
- Fermi-level density of states: 4.3 states/eV/cell
- Energy relative to the elements: 0.07 eV/atom

Lattice parameters (Å, degrees): 4.091 4.091 13.787 90.00 90.00 110.36
Fractional coordinates of all 4 atoms:
Sr 0.000 0.000 0.021
Sr 0.000 0.000 0.479
Ca 0.500 0.500 0.250
K 0.500 0.500 0.750

---

DFT (PBE-GGA) results for crystalline Pu2VAs4Rh3 at its relaxed geometry.

Summary:
- Fermi-level density of states: 28.7 states/eV/cell
- Energy relative to the elements: -0.65 eV/atom

Lattice parameters (Å, degrees): 4.267 4.267 10.076 90.00 90.00 90.00
Site moments in Bohr magnetons follow the coordinates.
Fractional coordinates of all 10 atoms:
Pu 0.500 0.000 0.243  5.22
Pu 0.000 0.500 0.757  5.22
V 0.500 0.500 0.500  1.46
As 0.500 0.500 0.000  -0.02
As 0.000 0.000 0.000  -0.02
As 0.500 0.000 0.634  -0.08
As 0.000 0.500 0.366  -0.08
Rh 0.000 0.000 0.500  -0.12
Rh 0.500 0.000 0.878  -0.11
Rh 0.000 0.500 0.122  -0.11

---

DFT (PBE-GGA) results for crystalline BaAgPb3 at its relaxed geometry.

Summary:
- Fermi-level density of states: 5.5 states/eV/cell
- Energy relative to the elements: 1.05 eV/atom

Lattice parameters (Å, degrees): 6.331 6.331 6.331 90.00 90.00 90.00
Fractional coordinates of all 5 atoms:
Pb 0.000 0.500 0.000
Pb 0.000 0.000 0.500
Pb 0.500 0.000 0.000
Ba 0.000 0.000 0.000
Ag 0.500 0.500 0.500

---

DFT (PBE-GGA) results for crystalline KLaP2O at its relaxed geometry.

Summary:
- Uncorrected formation energy: -0.465 eV per atom
- Fermi-level density of states: 5.0 states/eV/cell

Lattice parameters (Å, degrees): 5.935 5.935 4.434 90.00 90.00 90.00
Site moments in Bohr magnetons follow the coordinates.
Fractional coordinates of all 5 atoms:
P 0.000 0.500 0.000  0.50
P 0.500 0.000 0.000  0.50
K 0.500 0.500 0.500  0.01
O 0.000 0.000 0.500  0.22
La 0.000 0.000 0.000  0.03

---

DFT (PBE-GGA) results for crystalline Y2CrCd at its relaxed geometry.

Summary:
- Fermi-level density of states: 2.8 states/eV/cell
- Energy relative to the elements: 0.20 eV/atom

Lattice parameters (Å, degrees): 5.142 5.142 5.142 60.00 60.00 60.00
Site moments in Bohr magnetons follow the coordinates.
Fractional coordinates of all 4 atoms:
Cd 0.500 0.500 0.500  -0.02
Cr 0.750 0.750 0.750  3.56
Y 0.000 0.000 0.000  0.04
Y 0.250 0.250 0.250  -0.17

---

DFT (PBE-GGA) results for crystalline Nb5Tc6Mo at its relaxed geometry.

Summary:
- Fermi-level density of states: 3.6 states/eV/cell
- Energy relative to the elements: -0.27 eV/atom

Lattice parameters (Å, degrees): 4.499 6.367 7.115 90.00 108.43 90.00
Fractional coordinates of all 12 atoms:
Mo 0.000 0.000 0.000
Nb 0.666 0.500 0.332
Nb 0.334 0.000 0.668
Nb 0.000 0.500 0.000
Nb 0.666 0.000 0.332
Nb 0.334 0.500 0.668
Tc 0.834 0.751 0.669
Tc 0.834 0.249 0.669
Tc 0.500 0.248 0.000
Tc 0.500 0.752 0.000
Tc 0.166 0.751 0.331
Tc 0.166 0.249 0.331

---

DFT (PBE-GGA) results for crystalline RbPtCl at its relaxed geometry.

Summary:
- Uncorrected formation energy: -0.748 eV per atom
- Fermi-level density of states: 0.0 states/eV/cell

Lattice parameters (Å, degrees): 3.785 6.912 6.908 81.72 90.08 89.92
Fractional coordinates of all 6 atoms:
Pt 0.633 0.881 0.773
Pt 0.134 0.688 0.967
Rb 0.135 0.570 0.521
Rb 0.135 0.133 0.085
Cl 0.635 0.503 0.151
Cl 0.132 0.067 0.588

---

DFT (PBE-GGA) results for crystalline Cs2CdTe2 at its relaxed geometry.

Summary:
- Uncorrected formation energy: -0.782 eV per atom
- Fermi-level density of states: 0.0 states/eV/cell

Lattice parameters (Å, degrees): 7.461 7.461 9.086 65.76 65.76 90.00
Fractional coordinates of all 5 atoms:
Cs 0.750 0.250 0.500
Cs 0.250 0.750 0.500
Te 0.178 0.178 0.644
Te 0.822 0.822 0.356
Cd 0.000 0.000 0.000

---

DFT (PBE-GGA) results for crystalline PdRuBr3 at its relaxed geometry.

Summary:
- Uncorrected formation energy: 0.508 eV per atom
- Fermi-level density of states: 5.6 states/eV/cell

Lattice parameters (Å, degrees): 5.077 5.077 5.077 90.00 90.00 90.00
Site moments in Bohr magnetons follow the coordinates.
Fractional coordinates of all 5 atoms:
Ru 0.000 0.000 0.000  1.44
Br 0.000 0.500 0.000  0.09
Br 0.000 0.000 0.500  0.06
Br 0.500 0.000 0.000  0.17
Pd 0.500 0.500 0.500  0.50

---

DFT (PBE-GGA) results for crystalline ZnAsRu2 at its relaxed geometry.

Summary:
- Fermi-level density of states: 4.2 states/eV/cell
- Energy relative to the elements: 0.20 eV/atom

Lattice parameters (Å, degrees): 4.942 4.942 4.942 135.97 135.97 64.02
Fractional coordinates of all 4 atoms:
As 0.750 0.250 0.500
Ru 0.000 0.000 0.000
Ru 0.250 0.750 0.500
Zn 0.500 0.500 0.000

---

DFT (PBE-GGA) results for crystalline TlRuPt2 at its relaxed geometry.

Summary:
- Fermi-level density of states: 5.1 states/eV/cell
- Energy relative to the elements: 0.25 eV/atom

Lattice parameters (Å, degrees): 4.979 4.979 4.979 131.79 131.79 70.56
Site moments in Bohr magnetons follow the coordinates.
Fractional coordinates of all 4 atoms:
Pt 0.000 0.000 0.000  0.19
Pt 0.500 0.500 0.000  0.19
Ru 0.250 0.750 0.500  0.68
Tl 0.750 0.250 0.500  -0.02

---

DFT (PBE-GGA) results for crystalline BaLaMo2Pb at its relaxed geometry.

Summary:
- Fermi-level density of states: 5.5 states/eV/cell
- Energy relative to the elements: 1.50 eV/atom

Lattice parameters (Å, degrees): 4.949 6.061 4.949 90.00 90.00 90.00
Fractional coordinates of all 5 atoms:
Pb 0.500 0.500 0.500
Mo 0.000 0.000 0.500
Mo 0.500 0.000 0.000
Ba 0.000 0.500 0.000
La 0.000 0.000 0.000

---

DFT (PBE-GGA) results for crystalline InBiRh2 at its relaxed geometry.

Summary:
- Fermi-level density of states: 2.0 states/eV/cell
- Energy relative to the elements: -0.01 eV/atom

Lattice parameters (Å, degrees): 4.135 4.135 6.131 70.29 70.29 60.00
Fractional coordinates of all 4 atoms:
In 0.494 0.494 0.518
Bi 0.673 0.673 0.982
Rh 0.079 0.079 0.762
Rh 0.254 0.254 0.239

---

DFT (PBE-GGA) results for crystalline KAlGa2Re at its relaxed geometry.

Summary:
- Fermi-level density of states: 3.6 states/eV/cell
- Energy relative to the elements: -0.03 eV/atom

Lattice parameters (Å, degrees): 4.947 4.947 4.889 90.00 90.00 90.00
Fractional coordinates of all 5 atoms:
Re 0.000 0.000 0.000
K 0.500 0.500 0.500
Al 0.000 0.000 0.500
Ga 0.000 0.500 0.000
Ga 0.500 0.000 0.000

---

DFT (PBE-GGA) results for crystalline LiHo2Ir2 at its relaxed geometry.

Summary:
- Fermi-level density of states: 4.7 states/eV/cell
- Energy relative to the elements: -0.66 eV/atom

Lattice parameters (Å, degrees): 5.329 5.675 7.853 105.49 90.00 118.00
Fractional coordinates of all 10 atoms:
Li 0.857 0.000 0.250
Li 0.143 0.000 0.750
Ho 0.490 0.291 0.149
Ho 0.199 0.709 0.351
Ho 0.510 0.709 0.851
Ho 0.801 0.291 0.649
Ir 0.715 0.732 0.489
Ir 0.983 0.268 0.011
Ir 0.285 0.268 0.511
Ir 0.017 0.732 0.989

---

DFT (PBE-GGA) results for crystalline TaGaAs2Br at its relaxed geometry.

Summary:
- Uncorrected formation energy: 0.101 eV per atom
- Fermi-level density of states: 2.9 states/eV/cell

Lattice parameters (Å, degrees): 4.992 4.992 5.404 90.00 90.00 90.00
Fractional coordinates of all 5 atoms:
As 0.000 0.500 0.000
As 0.500 0.000 0.000
Ga 0.500 0.500 0.500
Br 0.000 0.000 0.500
Ta 0.000 0.000 0.000

---

DFT (PBE-GGA) results for crystalline HoUSe2S at its relaxed geometry.

Summary:
- Uncorrected formation energy: -1.432 eV per atom
- Fermi-level density of states: 17.1 states/eV/cell

Lattice parameters (Å, degrees): 4.110 4.110 14.137 90.00 90.00 90.00
Site moments in Bohr magnetons follow the coordinates.
Fractional coordinates of all 10 atoms:
Ho 0.500 0.000 0.097  -0.01
Ho 0.000 0.500 0.903  -0.01
U 0.500 0.000 0.626  2.37
U 0.000 0.500 0.374  2.37
Se 0.000 0.500 0.703  -0.05
Se 0.000 0.500 0.109  0.00
Se 0.500 0.000 0.891  0.00
Se 0.500 0.000 0.297  -0.05
S 0.000 0.000 0.500  -0.10
S 0.500 0.500 0.500  -0.10

---

DFT (PBE-GGA) results for crystalline Hf2TaF2 at its relaxed geometry.

Summary:
- Uncorrected formation energy: -1.633 eV per atom
- Fermi-level density of states: 5.1 states/eV/cell

Lattice parameters (Å, degrees): 3.310 3.310 7.457 77.18 77.18 90.00
Fractional coordinates of all 5 atoms:
F 0.750 0.250 0.500
F 0.250 0.750 0.500
Hf 0.366 0.366 0.268
Hf 0.634 0.634 0.732
Ta 0.000 0.000 0.000

---

DFT (PBE-GGA) results for crystalline K2NaAcCl6 at its relaxed geometry.

Summary:
- Uncorrected formation energy: -2.122 eV per atom
- Fermi-level density of states: 0.0 states/eV/cell

Lattice parameters (Å, degrees): 7.566 7.911 10.779 90.00 87.78 90.00
Fractional coordinates of all 20 atoms:
K 0.028 0.930 0.258
K 0.528 0.570 0.758
K 0.972 0.070 0.742
K 0.472 0.430 0.242
Na 0.500 0.000 0.000
Na 0.000 0.500 0.500
Ac 0.500 0.000 0.500
Ac 0.000 0.500 0.000
Cl 0.303 0.701 0.061
Cl 0.803 0.799 0.561
Cl 0.697 0.299 0.939
Cl 0.197 0.201 0.439
Cl 0.302 0.704 0.431
Cl 0.802 0.796 0.931
Cl 0.698 0.296 0.569
Cl 0.198 0.204 0.069
Cl 0.873 0.549 0.253
Cl 0.373 0.951 0.753
Cl 0.127 0.451 0.747
Cl 0.627 0.049 0.247

---

DFT (PBE-GGA) results for crystalline KMn4Co at its relaxed geometry.

Summary:
- Fermi-level density of states: 8.7 states/eV/cell
- Energy relative to the elements: 1.09 eV/atom

Lattice parameters (Å, degrees): 5.397 5.397 5.397 60.00 60.00 60.00
Site moments in Bohr magnetons follow the coordinates.
Fractional coordinates of all 6 atoms:
K 0.000 0.000 0.000  0.01
Mn 0.865 0.378 0.378  3.66
Mn 0.378 0.378 0.865  3.66
Mn 0.378 0.865 0.378  3.66
Mn 0.378 0.378 0.378  3.66
Co 0.750 0.750 0.750  1.94